Record 1
Crystalline Tb2Pr3DyY6 at its relaxed geometry. Source: the Alexandria database, functional PBE.

Results
**Fermi-level density of states**: 16.3 states/eV per cell
**VASP energy**: -5.565 eV per atom
**Total moment**: 0.00 μB/cell

a b c (Å): 6.2498 6.2498 11.8856
angles (deg): 95.01 95.01 119.98
Last column: nearest neighbours and their distance in Å.
Fractional positions:
1 Tb 0.3334 0.6666 0.0000  6 Y 3.55-3.56, 3 Tb 3.61, 3 Dy 3.61
2 Tb 0.6666 0.3334 0.0000  6 Y 3.55-3.56, 3 Tb 3.61, 3 Dy 3.61
3 Pr 0.1667 0.8333 0.5000  6 Pr 3.61, 6 Y 3.63
4 Pr 0.8333 0.1667 0.5000  6 Pr 3.61, 6 Y 3.63
5 Pr 0.5000 0.5000 0.5000  6 Pr 3.61, 6 Y 3.63
6 Dy 0.0000 0.0000 0.0000  6 Y 3.55-3.56, 6 Tb 3.61
7 Y 0.9179 0.5847 0.7538  2 Tb 3.55-3.56, 1 Dy 3.56, 6 Y 3.61, 3 Pr 3.63
8 Y 0.7489 0.7489 0.2463  1 Dy 3.55, 2 Tb 3.56, 6 Y 3.61, 3 Pr 3.63
9 Y 0.0821 0.4153 0.2462  2 Tb 3.55-3.56, 1 Dy 3.56, 6 Y 3.61, 3 Pr 3.63
10 Y 0.5847 0.9179 0.7538  2 Tb 3.55-3.56, 1 Dy 3.56, 6 Y 3.61, 3 Pr 3.63
11 Y 0.2511 0.2511 0.7537  1 Dy 3.55, 2 Tb 3.56, 6 Y 3.61, 3 Pr 3.63
12 Y 0.4153 0.0821 0.2462  2 Tb 3.55-3.56, 1 Dy 3.56, 6 Y 3.61, 3 Pr 3.63

***

Record 2
Crystalline Tb2Pr3Dy6Y at its relaxed geometry. Source: the Alexandria database, functional PBE.

Results
**Fermi-level density of states**: 15.8 states/eV per cell
**VASP energy**: -4.788 eV per atom
**Total moment**: 0.00 μB/cell

a b c (Å): 6.2290 6.2290 11.8729
angles (deg): 95.00 95.00 119.99
Last column: nearest neighbours and their distance in Å.
Fractional positions:
1 Tb 0.3334 0.6666 0.0000  6 Dy 3.55, 3 Tb 3.59-3.60, 3 Y 3.60
2 Tb 0.6666 0.3334 0.0000  6 Dy 3.55, 3 Tb 3.59-3.60, 3 Y 3.60
3 Pr 0.1666 0.8334 0.5000  6 Pr 3.59-3.60, 6 Dy 3.62
4 Pr 0.8334 0.1666 0.5000  6 Pr 3.59-3.60, 6 Dy 3.62
5 Pr 0.5000 0.5000 0.5000  6 Pr 3.60, 6 Dy 3.62
6 Dy 0.9178 0.5839 0.7538  2 Tb 3.55, 1 Y 3.55, 6 Dy 3.59-3.60, 3 Pr 3.62
7 Dy 0.7482 0.7482 0.2461  2 Tb 3.55, 1 Y 3.55, 6 Dy 3.59-3.60, 3 Pr 3.62
8 Dy 0.0822 0.4161 0.2462  2 Tb 3.55, 1 Y 3.55, 6 Dy 3.59-3.60, 3 Pr 3.62
9 Dy 0.5839 0.9178 0.7538  2 Tb 3.55, 1 Y 3.55, 6 Dy 3.59-3.60, 3 Pr 3.62
10 Dy 0.2518 0.2518 0.7539  2 Tb 3.55, 1 Y 3.55, 6 Dy 3.59-3.60, 3 Pr 3.62
11 Dy 0.4161 0.0822 0.2462  2 Tb 3.55, 1 Y 3.55, 6 Dy 3.59-3.60, 3 Pr 3.62
12 Y 0.0000 0.0000 0.0000  6 Dy 3.55, 6 Tb 3.60

***

Record 3
Crystalline TbPr2Dy5Y at its relaxed geometry. Source: the Alexandria database, functional PBE.

Results
**Fermi-level density of states**: 24.0 states/eV per cell
**VASP energy**: -4.584 eV per atom
**Total moment**: 0.00 μB/cell

a b c (Å): 8.6447 8.6447 10.0159
angles (deg): 115.57 115.57 90.00
Last column: nearest neighbours and their distance in Å.
Fractional positions:
1 Tb 0.2500 0.2500 0.5000  8 Dy 3.54
2 Tb 0.7500 0.7500 0.5000  8 Dy 3.54
3 Pr 0.1187 0.3813 0.0000  1 Pr 2.90, 2 Dy 3.03
4 Pr 0.6187 0.1187 0.0000  1 Pr 2.90, 2 Dy 3.03
5 Pr 0.3813 0.8813 0.0000  1 Pr 2.90, 2 Dy 3.03
6 Pr 0.8813 0.6187 0.0000  1 Pr 2.90, 2 Dy 3.03
7 Dy 0.9270 0.4270 0.2820  1 Pr 3.03, 1 Y 3.14
8 Dy 0.6450 0.1450 0.7180  1 Pr 3.03, 1 Y 3.14
9 Dy 0.0730 0.5730 0.7180  1 Pr 3.03, 1 Y 3.14
10 Dy 0.1450 0.0730 0.7180  1 Pr 3.03, 1 Y 3.14
11 Dy 0.5730 0.6450 0.7180  1 Pr 3.03, 1 Y 3.14
12 Dy 0.8550 0.9270 0.2820  1 Pr 3.03, 1 Y 3.14
13 Dy 0.4270 0.3550 0.2820  1 Pr 3.03, 1 Y 3.14
14 Dy 0.3550 0.8550 0.2820  1 Pr 3.03, 1 Y 3.14
15 Dy 0.5000 0.5000 0.0000  4 Pr 3.45, 8 Dy 3.81
16 Dy 0.0000 0.0000 0.0000  4 Pr 3.45, 8 Dy 3.81
17 Y 0.2500 0.7500 0.5000  4 Dy 3.14
18 Y 0.7500 0.2500 0.5000  4 Dy 3.14

***

Record 4
Crystalline TbPr2Dy2Y at its relaxed geometry. Source: the Alexandria database, functional PBE.

Results
**Fermi-level density of states**: 18.8 states/eV per cell
**VASP energy**: -4.916 eV per atom
**Total moment**: 0.00 μB/cell

a b c (Å): 5.6927 7.0818 9.8665
angles (deg): 90.00 90.00 90.00
Last column: nearest neighbours and their distance in Å.
Fractional positions:
1 Tb 0.5000 0.2578 0.6600  5 Dy 3.23-3.54
2 Tb 0.5000 0.7578 0.3400  5 Dy 3.23-3.54
3 Pr 0.5000 0.0075 0.9999  6 Pr 3.54-3.78, 6 Dy 3.72-3.73, 2 Tb 3.79
4 Pr 0.0000 0.2574 0.1760  5 Dy 3.24-3.54
5 Pr 0.5000 0.5075 0.0001  6 Pr 3.54-3.78, 6 Dy 3.72-3.73, 2 Tb 3.79
6 Pr 0.0000 0.7574 0.8240  5 Dy 3.24-3.54
7 Dy 0.0000 0.2574 0.8358  2 Tb 3.33, 7 Pr 3.36-3.72
8 Dy 0.5000 0.2578 0.3327  3 Tb 3.23-3.54, 2 Pr 3.24
9 Dy 0.0000 0.7574 0.1642  2 Tb 3.33, 7 Pr 3.36-3.72
10 Dy 0.5000 0.7578 0.6673  3 Tb 3.23-3.54, 2 Pr 3.24
11 Y 0.0000 0.0077 0.5001  2 Y 3.54, 2 Pr 3.65-3.66, 4 Tb 3.70-3.71, 6 Dy 3.74-3.76
12 Y 0.0000 0.5077 0.4999  2 Y 3.54, 2 Pr 3.65-3.66, 4 Tb 3.70-3.71, 6 Dy 3.74-3.76

***

Record 5
Crystalline TbPr2Dy2Y2 at its relaxed geometry. Source: the Alexandria database, functional PBE.

Results
**Fermi-level density of states**: 11.8 states/eV per cell
**VASP energy**: -5.105 eV per atom
**Total moment**: 0.00 μB/cell

a b c (Å): 3.5362 6.1772 11.8983
angles (deg): 72.09 90.00 106.63
Last column: nearest neighbours and their distance in Å.
Fractional positions:
1 Tb 0.0000 0.0000 0.5000  2 Tb 3.54, 4 Y 3.55, 6 Dy 3.55-3.57
2 Pr 0.6725 0.3450 0.9139  5 Pr 3.54-3.94, 4 Y 3.56-3.65, 2 Dy 3.64
3 Pr 0.3275 0.6550 0.0861  5 Pr 3.54-3.94, 4 Y 3.56-3.65, 2 Dy 3.64
4 Dy 0.7720 0.5440 0.3657  3 Y 3.51-3.61, 4 Dy 3.54, 3 Tb 3.55-3.57, 2 Pr 3.64
5 Dy 0.2280 0.4560 0.6343  3 Y 3.51-3.61, 4 Dy 3.54, 3 Tb 3.55-3.57, 2 Pr 3.64
6 Y 0.4516 0.9033 0.7698  3 Dy 3.51-3.61, 2 Y 3.54, 2 Tb 3.55, 4 Pr 3.56-3.65
7 Y 0.5484 0.0967 0.2302  3 Dy 3.51-3.61, 2 Y 3.54, 2 Tb 3.55, 4 Pr 3.56-3.65

***

Record 6
Crystalline Tb2PrDy6Y3 at its relaxed geometry. Source: the Alexandria database, functional PBE.

Results
**Fermi-level density of states**: 16.2 states/eV per cell
**VASP energy**: -5.069 eV per atom
**Total moment**: 0.00 μB/cell

a b c (Å): 6.1759 6.1759 11.8259
angles (deg): 94.97 94.97 119.95
Last column: nearest neighbours and their distance in Å.
Fractional positions:
1 Tb 0.3334 0.6666 0.0000  3 Tb 3.56-3.57, 3 Pr 3.57, 6 Dy 3.57-3.58
2 Tb 0.6666 0.3334 0.0000  3 Tb 3.56-3.57, 3 Pr 3.57, 6 Dy 3.57-3.58
3 Pr 0.0000 0.0000 0.0000  6 Tb 3.57, 6 Dy 3.58
4 Dy 0.9158 0.5818 0.7490  3 Y 3.55-3.56, 6 Dy 3.56-3.58, 2 Tb 3.57-3.58, 1 Pr 3.58
5 Dy 0.7499 0.7499 0.2510  3 Y 3.55-3.56, 6 Dy 3.56-3.58, 1 Pr 3.58, 2 Tb 3.58
6 Dy 0.0842 0.4182 0.2510  3 Y 3.55-3.56, 6 Dy 3.56-3.58, 2 Tb 3.57-3.58, 1 Pr 3.58
7 Dy 0.5818 0.9158 0.7490  3 Y 3.55-3.56, 6 Dy 3.56-3.58, 2 Tb 3.57-3.58, 1 Pr 3.58
8 Dy 0.2501 0.2501 0.7490  3 Y 3.55-3.56, 6 Dy 3.56-3.58, 1 Pr 3.58, 2 Tb 3.58
9 Dy 0.4182 0.0842 0.2510  3 Y 3.55-3.56, 6 Dy 3.56-3.58, 2 Tb 3.57-3.58, 1 Pr 3.58
10 Y 0.1669 0.8331 0.5000  6 Dy 3.55-3.56, 6 Y 3.56-3.57
11 Y 0.8331 0.1669 0.5000  6 Dy 3.55-3.56, 6 Y 3.56-3.57
12 Y 0.5000 0.5000 0.5000  6 Dy 3.55-3.56, 6 Y 3.56-3.57